a | # Sc2BeTl | the Alexandria database | GGA-PBEsol | relaxed
data_Sc2BeTl
_chemical_formula_sum 'Sc2 Be1 Tl1'
_cell_length_a 3.5103
_cell_length_b 3.5103
_cell_length_c 6.4218
_cell_angle_alpha 90.00
_cell_angle_beta 90.00
_cell_angle_gamma 90.00
_symmetry_space_group_name_H-M 'P 1'
_symmetry_Int_Tables_number 1
_symmetry_space_group_name_Hall 'P 1'
loop_
_atom_site_label
_atom_site_type_symbol
_atom_site_fract_x
_atom_site_fract_y
_atom_site_fract_z
Tl1 Tl 0.0000 0.0000 0.5229
Sc1 Sc 0.5000 0.5000 0.2478
Sc2 Sc 0.0000 0.0000 0.9737
Be1 Be 0.5000 0.5000 0.7556
# * space-group type: P4mm, No. 99
# * spin magnetization: 0.6 μB/f.u.

b | # Sc2BeTl | the Alexandria database | GGA-PBEsol | relaxed
data_Sc2BeTl
_chemical_formula_sum 'Sc2 Be1 Tl1'
_cell_length_a 3.3426
_cell_length_b 3.3426
_cell_length_c 8.6607
_cell_angle_alpha 78.87
_cell_angle_beta 78.87
_cell_angle_gamma 60.00
_symmetry_space_group_name_H-M 'P 1'
_symmetry_Int_Tables_number 1
_symmetry_space_group_name_Hall 'P 1'
loop_
_atom_site_label
_atom_site_type_symbol
_atom_site_fract_x
_atom_site_fract_y
_atom_site_fract_z
Tl1 Tl 0.5000 0.5000 0.5000
Sc1 Sc 0.2634 0.2634 0.2099
Be1 Be 0.0000 0.0000 0.0000
Sc2 Sc 0.7366 0.7366 0.7901
# * space-group type: R-3m, No. 166
# * spin magnetization: 0.0 μB/f.u.

Each structure's energy above the most stable one, in kJ/mol of atoms: a 10.7; b 0.0.

a | # CaLaY2 | the Alexandria database | GGA-PBEsol | relaxed
data_CaLaY2
_chemical_formula_sum 'Ca1 La1 Y2'
_cell_length_a 3.5953
_cell_length_b 3.5953
_cell_length_c 10.4508
_cell_angle_alpha 90.00
_cell_angle_beta 90.00
_cell_angle_gamma 90.00
_symmetry_space_group_name_H-M 'P 1'
_symmetry_Int_Tables_number 1
_symmetry_space_group_name_Hall 'P 1'
loop_
_atom_site_label
_atom_site_type_symbol
_atom_site_fract_x
_atom_site_fract_y
_atom_site_fract_z
La1 La 0.5000 0.5000 0.7672
Y1 Y 0.5000 0.5000 0.2337
Y2 Y 0.0000 0.0000 0.0059
Ca1 Ca 0.0000 0.0000 0.4932
# * space-group type: P4mm, No. 99
# * spin magnetization: 0.0 μB/f.u.

b | # CaLaY2 | the Alexandria database | GGA-PBEsol | relaxed
data_CaLaY2
_chemical_formula_sum 'Ca1 La1 Y2'
_cell_length_a 5.7494
_cell_length_b 5.7494
_cell_length_c 5.7494
_cell_angle_alpha 60.00
_cell_angle_beta 60.00
_cell_angle_gamma 60.00
_symmetry_space_group_name_H-M 'P 1'
_symmetry_Int_Tables_number 1
_symmetry_space_group_name_Hall 'P 1'
loop_
_atom_site_label
_atom_site_type_symbol
_atom_site_fract_x
_atom_site_fract_y
_atom_site_fract_z
Ca1 Ca 0.0000 0.0000 0.0000
Y1 Y 0.2500 0.2500 0.2500
La1 La 0.5000 0.5000 0.5000
Y2 Y 0.7500 0.7500 0.7500
# * space-group type: Fm-3m, No. 225
# * spin magnetization: 0.0 μB/f.u.

Each structure's energy above the most stable one, in kJ/mol of atoms: a 0.0; b 9.5.

a | # TcAs2 | the Alexandria database | GGA-PBEsol | relaxed
data_TcAs2
_chemical_formula_sum 'Tc2 As4'
_cell_length_a 2.9084
_cell_length_b 5.5884
_cell_length_c 6.3065
_cell_angle_alpha 90.00
_cell_angle_beta 90.00
_cell_angle_gamma 90.00
_symmetry_space_group_name_H-M 'P 1'
_symmetry_Int_Tables_number 1
_symmetry_space_group_name_Hall 'P 1'
loop_
_atom_site_label
_atom_site_type_symbol
_atom_site_fract_x
_atom_site_fract_y
_atom_site_fract_z
As1 As 0.5000 0.6727 0.8686
As2 As 0.0000 0.8273 0.3686
Tc1 Tc 0.5000 0.5000 0.5000
As3 As 0.0000 0.1727 0.6314
As4 As 0.5000 0.3273 0.1314
Tc2 Tc 0.0000 0.0000 0.0000
# * space-group type: Pnnm, No. 58
# * spin magnetization: 0.0 μB/f.u.

b | # TcAs2 | the Alexandria database | GGA-PBEsol | relaxed
data_TcAs2
_chemical_formula_sum 'Tc2 As4'
_cell_length_a 3.1607
_cell_length_b 4.8353
_cell_length_c 6.4762
_cell_angle_alpha 90.00
_cell_angle_beta 104.12
_cell_angle_gamma 90.00
_symmetry_space_group_name_H-M 'P 1'
_symmetry_Int_Tables_number 1
_symmetry_space_group_name_Hall 'P 1'
loop_
_atom_site_label
_atom_site_type_symbol
_atom_site_fract_x
_atom_site_fract_y
_atom_site_fract_z
As1 As 0.3560 0.2500 0.7121
As2 As 0.9586 0.7500 0.9172
As3 As 0.0414 0.2500 0.0828
As4 As 0.6440 0.7500 0.2879
Tc1 Tc 0.2984 0.7500 0.5969
Tc2 Tc 0.7016 0.2500 0.4031
# * space-group type: Cmcm, No. 63
# * spin magnetization: 0.0 μB/f.u.

Each structure's energy above the most stable one, in kJ/mol of atoms: a 0.0; b 9.1.

a | # AlTc | the Alexandria database | GGA-PBEsol | relaxed
data_AlTc
_chemical_formula_sum 'Al1 Tc1'
_cell_length_a 3.9770
_cell_length_b 3.9770
_cell_length_c 3.9770
_cell_angle_alpha 60.00
_cell_angle_beta 60.00
_cell_angle_gamma 60.00
_symmetry_space_group_name_H-M 'P 1'
_symmetry_Int_Tables_number 1
_symmetry_space_group_name_Hall 'P 1'
loop_
_atom_site_label
_atom_site_type_symbol
_atom_site_fract_x
_atom_site_fract_y
_atom_site_fract_z
Al1 Al 0.0000 0.0000 0.0000
Tc1 Tc 0.2500 0.2500 0.2500
# * space-group type: F-43m, No. 216
# * spin magnetization: 1.9 μB/f.u.

b | # AlTc | the Alexandria database | GGA-PBEsol | relaxed
data_AlTc
_chemical_formula_sum 'Al2 Tc2'
_cell_length_a 3.0559
_cell_length_b 3.0559
_cell_length_c 5.9426
_cell_angle_alpha 90.00
_cell_angle_beta 90.00
_cell_angle_gamma 90.00
_symmetry_space_group_name_H-M 'P 1'
_symmetry_Int_Tables_number 1
_symmetry_space_group_name_Hall 'P 1'
loop_
_atom_site_label
_atom_site_type_symbol
_atom_site_fract_x
_atom_site_fract_y
_atom_site_fract_z
Al1 Al 0.5000 0.0000 0.8665
Tc1 Tc 0.0000 0.5000 0.6316
Al2 Al 0.0000 0.5000 0.1335
Tc2 Tc 0.5000 0.0000 0.3684
# * space-group type: P4/nmm, No. 129
# * spin magnetization: 0.0 μB/f.u.

Each structure's energy above the most stable one, in kJ/mol of atoms: a 211.2; b 0.0.

a | # PtRh2W | the Alexandria database | GGA-PBEsol | relaxed
data_PtRh2W
_chemical_formula_sum 'Pt1 Rh2 W1'
_cell_length_a 3.8734
_cell_length_b 3.8734
_cell_length_c 4.6848
_cell_angle_alpha 114.42
_cell_angle_beta 114.42
_cell_angle_gamma 90.00
_symmetry_space_group_name_H-M 'P 1'
_symmetry_Int_Tables_number 1
_symmetry_space_group_name_Hall 'P 1'
loop_
_atom_site_label
_atom_site_type_symbol
_atom_site_fract_x
_atom_site_fract_y
_atom_site_fract_z
Pt1 Pt 0.5000 0.5000 0.0000
Rh1 Rh 0.2500 0.7500 0.5000
Rh2 Rh 0.7500 0.2500 0.5000
W1 W 0.0000 0.0000 0.0000
# * space-group type: I4/mmm, No. 139
# * spin magnetization: 0.0 μB/f.u.

b | # PtRh2W | the Alexandria database | GGA-PBEsol | relaxed
data_PtRh2W
_chemical_formula_sum 'Pt1 Rh2 W1'
_cell_length_a 3.8361
_cell_length_b 3.8361
_cell_length_c 4.7253
_cell_angle_alpha 113.95
_cell_angle_beta 113.95
_cell_angle_gamma 90.00
_symmetry_space_group_name_H-M 'P 1'
_symmetry_Int_Tables_number 1
_symmetry_space_group_name_Hall 'P 1'
loop_
_atom_site_label
_atom_site_type_symbol
_atom_site_fract_x
_atom_site_fract_y
_atom_site_fract_z
Rh1 Rh 0.7500 0.2500 0.5000
Rh2 Rh 0.0000 0.0000 0.0000
W1 W 0.5000 0.5000 0.0000
Pt1 Pt 0.2500 0.7500 0.5000
# * space-group type: I-4m2, No. 119
# * spin magnetization: 0.0 μB/f.u.

Each structure's energy above the most stable one, in kJ/mol of atoms: a 0.0; b 0.5.

a | # BeTl2Pb | the Alexandria database | GGA-PBEsol | relaxed
data_BeTl2Pb
_chemical_formula_sum 'Be1 Tl2 Pb1'
_cell_length_a 3.3825
_cell_length_b 3.3825
_cell_length_c 8.5385
_cell_angle_alpha 90.00
_cell_angle_beta 90.00
_cell_angle_gamma 100.88
_symmetry_space_group_name_H-M 'P 1'
_symmetry_Int_Tables_number 1
_symmetry_space_group_name_Hall 'P 1'
loop_
_atom_site_label
_atom_site_type_symbol
_atom_site_fract_x
_atom_site_fract_y
_atom_site_fract_z
Tl1 Tl 0.0000 0.0000 0.9910
Pb1 Pb 0.5000 0.5000 0.3065
Tl2 Tl 0.5000 0.5000 0.6965
Be1 Be 0.0000 0.0000 0.5058
# * space-group type: Cmm2, No. 35
# * spin magnetization: 0.0 μB/f.u.

b | # BeTl2Pb | the Alexandria database | GGA-PBEsol | relaxed
data_BeTl2Pb
_chemical_formula_sum 'Be1 Tl2 Pb1'
_cell_length_a 4.3861
_cell_length_b 4.3861
_cell_length_c 5.9760
_cell_angle_alpha 111.53
_cell_angle_beta 111.53
_cell_angle_gamma 90.00
_symmetry_space_group_name_H-M 'P 1'
_symmetry_Int_Tables_number 1
_symmetry_space_group_name_Hall 'P 1'
loop_
_atom_site_label
_atom_site_type_symbol
_atom_site_fract_x
_atom_site_fract_y
_atom_site_fract_z
Be1 Be 0.5000 0.5000 0.0000
Tl1 Tl 0.2500 0.7500 0.5000
Pb1 Pb 0.0000 0.0000 0.0000
Tl2 Tl 0.7500 0.2500 0.5000
# * space-group type: I4/mmm, No. 139
# * spin magnetization: 0.0 μB/f.u.

Each structure's energy above the most stable one, in kJ/mol of atoms: a 0.0; b 15.2.